## CsTe3AsPb (PBE)

Data for crystalline CsTe3AsPb at its relaxed geometry.

Summary:
Formation energy without anion corrections (eV/atom): -0.38
Raw total energy (eV per cell): -41.9
Space-group type: C2/m (12)

Cell lengths 4.799, 11.254, 9.647 Å; angles 99.11, 90.00, 102.31 degrees
Fractional coordinates of all 12 atoms:
Te  0.870  0.741  0.325
As  0.991  0.983  0.360
Cs  0.646  0.291  0.989
Te  0.130  0.259  0.675
Pb  0.668  0.335  0.463
Cs  0.354  0.709  0.011
Te  0.220  0.441  0.292
As  0.009  0.017  0.640
Pb  0.332  0.665  0.537
Te  0.521  0.043  0.245
Te  0.780  0.559  0.708
Te  0.479  0.957  0.755